(1)
Computed, not measured: a relaxed MnCr2W crystal at the GGA-PBE level of DFT.

DOS at the Fermi energy ... 1.96 states/eV/atom
Energy above the lowest structure with this stoichiometry ... 0.20 eV per formula unit
E_tot ... -10.21 eV per atom
ΔE_f ... 131 meV per atom

Cell lengths 5.8680, 5.8680, 5.8680 Å; angles 90.00, 90.00, 90.00 degrees
Last column: nearest neighbours and their distance in Å.
Space group Fm-3m (No. 225)
Inequivalent atoms, fractional coordinates:
Mn  0.0000  0.0000  0.0000 x4  8 Cr 2.54
Cr  0.2500  0.2500  0.2500 x8  4 Mn 2.54, 4 W 2.54
W  0.0000  0.0000  0.5000 x4  8 Cr 2.54

=====

(2)
Computed, not measured: a relaxed KNdCrN3 crystal at the GGA-PBE level of DFT.

DOS at the Fermi energy ... 0.17 states/eV/atom
Formation energy from raw total energies ... -442 meV/atom
E_tot ... -7.19 eV per atom

Cell lengths 13.5418, 3.7422, 8.0013 Å; angles 90.00, 105.20, 90.00 degrees
Last column: nearest neighbours and their distance in Å.
Space group C2/m (No. 12)
Inequivalent atoms, fractional coordinates:
K  0.1345  0.0000  0.0676 x4  6 N 2.87-3.20
Nd  0.1614  0.0000  0.5965 x4  7 N 2.42-2.66
Cr  0.0086  0.5000  0.3314 x4  4 N 1.78-1.88
N  0.0130  0.0000  0.3489 x4  2 Cr 1.88
N  0.1217  0.5000  0.7903 x4  1 Cr 1.78
N  0.1504  0.5000  0.3552 x4  1 Cr 1.88

=====

(3)
Computed, not measured: a relaxed YW2I crystal at the GGA-PBE level of DFT.

DOS at the Fermi energy ... 0.65 states/eV/atom
Energy above the lowest structure with this stoichiometry ... 0.00 eV per formula unit
Formation energy from raw total energies ... 1008 meV/atom
E_tot ... -7.47 eV per atom

Cell lengths 4.0244, 4.0244, 22.6147 Å; angles 90.00, 90.00, 90.00 degrees
Last column: nearest neighbours and their distance in Å.
Space group I-42d (No. 122)
Inequivalent atoms, fractional coordinates:
Y  0.0000  0.0000  0.0000 x4  4 I 2.85, 4 W 3.12
W  0.2123  0.2500  0.1250 x8  2 W 2.64
I  0.0000  0.0000  0.5000 x4  4 Y 2.85

=====

(4)
Computed, not measured: a relaxed MgSiHg crystal at the GGA-PBE level of DFT.

DOS at the Fermi energy ... 0.35 states/eV/atom
Formation energy from raw total energies ... 186 meV/atom
E_tot ... -2.25 eV per atom

Cell lengths 3.3553, 4.0173, 8.9370 Å; angles 90.00, 90.00, 90.00 degrees
Last column: nearest neighbours and their distance in Å.
Space group Imm2 (No. 44)
Inequivalent atoms, fractional coordinates:
Mg  0.0000  0.0000  0.0000 x2  5 Hg 2.91-3.04, 5 Si 2.98-3.05
Si  0.0000  0.0000  0.6588 x2  5 Hg 2.98-3.01, 5 Mg 2.98-3.05
Hg  0.0000  0.0000  0.3259 x2  5 Mg 2.91-3.04, 5 Si 2.98-3.01